Computed, not measured: a relaxed structure of ZrZnCo2Pt at the PBE-GGA level of DFT.

Structure (POSCAR):
```
ZrZnCo2Pt
1.0
-1.412 1.482 4.027
-1.422 -4.654 1.215
4.095 -0.800 1.730
Zn Co Zr Pt
1 2 1 1
direct
0.500 0.500 0.500
0.000 0.000 0.500
0.500 0.000 0.000
0.000 0.000 0.000
0.000 0.500 0.000
```

**Formation enthalpy at 0 K**: 1175 meV per atom